No. 1
DFT (GGA-PBE) results for a relaxed KAg3OsSe4 crystal.

Unit cell a=6.502 b=6.502 c=6.502 alpha=90.00 beta=90.00 gamma=90.00
Element x y z (fractional)
K1 0.000 0.000 0.000
Ag1 0.000 0.500 0.500
Ag2 0.500 0.000 0.500
Ag3 0.500 0.500 0.000
Os1 0.500 0.500 0.500
Se1 0.286 0.286 0.286
Se2 0.286 0.714 0.714
Se3 0.714 0.286 0.714
Se4 0.714 0.714 0.286

Results
ρ: 5.2 g cm⁻³
E_tot: -3.944 eV per atom

=====

No. 2
DFT (GGA-PBE) results for a relaxed SmZnNO crystal.

Unit cell a=5.595 b=7.959 c=5.152 alpha=90.00 beta=90.00 gamma=90.00
Element x y z (fractional)
Sm1 0.032 0.151 0.000
Sm2 0.468 0.151 0.500
Sm3 0.532 0.849 0.000
Sm4 0.968 0.849 0.500
Zn1 0.052 0.617 0.984
Zn2 0.448 0.617 0.484
Zn3 0.552 0.383 0.984
Zn4 0.948 0.383 0.484
N1 0.047 0.141 0.521
N2 0.453 0.141 0.021
N3 0.547 0.859 0.521
N4 0.953 0.859 0.021
O1 0.107 0.587 0.599
O2 0.393 0.587 0.099
O3 0.607 0.413 0.599
O4 0.893 0.413 0.099

Results
ρ: 7.1 g cm⁻³
excess energy over the best structure of this formula in the dataset: 0.088 eV/atom

=====

No. 3
DFT (GGA-PBE) results for a relaxed Gd2Al2Ni crystal.

Unit cell a=9.043 b=7.582 c=6.841 alpha=77.47 beta=54.93 gamma=47.60
Element x y z (fractional)
Gd1 0.000 0.000 0.000
Gd2 0.000 0.000 0.500
Gd3 0.000 0.500 0.000
Gd4 0.500 0.000 0.000
Al1 0.258 0.492 0.258
Al2 0.492 0.258 0.492
Al3 0.508 0.742 0.508
Al4 0.742 0.508 0.742
Ni1 0.125 0.125 0.125
Ni2 0.875 0.875 0.875

Results
ρ: 5.2 g cm⁻³
E_tot: -3.963 eV per atom

=====

No. 4
DFT (GGA-PBE) results for a relaxed LiCoSnPb crystal.

Unit cell a=4.656 b=4.656 c=4.656 alpha=60.00 beta=60.00 gamma=60.00
Element x y z (fractional)
Li1 0.000 0.000 0.000
Co1 0.500 0.500 0.500
Sn1 0.750 0.750 0.750
Pb1 0.250 0.250 0.250

Results
ρ: 9.1 g cm⁻³
excess energy over the best structure of this formula in the dataset: 0.000 eV/atom

=====

No. 5
DFT (GGA-PBE) results for a relaxed Nb9Co8Sb9 crystal.

Unit cell a=7.340 b=7.340 c=12.517 alpha=107.28 beta=107.28 gamma=47.95
Element x y z (fractional)
Nb1 0.000 0.000 0.000
Nb2 0.340 0.318 0.110
Nb3 0.345 0.315 0.781
Nb4 0.438 0.262 0.441
Nb5 0.682 0.660 0.890
Nb6 0.685 0.655 0.219
Nb7 0.738 0.562 0.559
Nb8 0.917 0.064 0.390
Nb9 0.936 0.083 0.610
Co1 0.086 0.579 0.946
Co2 0.105 0.546 0.270
Co3 0.112 0.532 0.619
Co4 0.421 0.914 0.054
Co5 0.454 0.895 0.730
Co6 0.468 0.888 0.381
Co7 0.743 0.255 0.839
Co8 0.745 0.257 0.161
Sb1 0.163 0.152 0.878
Sb2 0.171 0.148 0.229
Sb3 0.260 0.100 0.551
Sb4 0.474 0.520 0.670
Sb5 0.480 0.526 0.330
Sb6 0.497 0.503 0.000
Sb7 0.848 0.837 0.122
Sb8 0.852 0.829 0.771
Sb9 0.900 0.740 0.449

Results
ρ: 8.4 g cm⁻³
E_tot: -7.336 eV per atom

=====

No. 6
DFT (GGA-PBE) results for a relaxed FePd crystal.

Unit cell a=2.709 b=2.709 c=3.752 alpha=90.00 beta=90.00 gamma=90.00
Element x y z (fractional)
Fe1 0.000 0.000 0.000
Pd1 0.500 0.500 0.500

Results
ρ: 9.8 g cm⁻³
energy of formation: -66 meV/atom

=====

No. 7
DFT (GGA-PBE) results for a relaxed AgSbAsO crystal.

Unit cell a=4.492 b=4.492 c=7.624 alpha=90.00 beta=90.00 gamma=90.00
Element x y z (fractional)
Ag1 0.250 0.250 0.080
Ag2 0.750 0.750 0.920
Sb1 0.250 0.750 0.500
Sb2 0.750 0.250 0.500
As1 0.250 0.250 0.733
As2 0.750 0.750 0.267
O1 0.250 0.750 0.000
O2 0.750 0.250 0.000

Results
ρ: 6.9 g cm⁻³
excess energy over the best structure of this formula in the dataset: 0.589 eV/atom

=====

No. 8
DFT (GGA-PBE) results for a relaxed HoBeSi crystal.

Unit cell a=4.343 b=4.343 c=4.343 alpha=60.00 beta=60.00 gamma=60.00
Element x y z (fractional)
Ho1 0.000 0.000 0.000
Be1 0.500 0.500 0.500
Si1 0.750 0.750 0.750

Results
ρ: 5.8 g cm⁻³
E_tot: -4.634 eV per atom

=====

No. 9
DFT (GGA-PBE) results for a relaxed CdAsIrO crystal.

Unit cell a=4.052 b=4.052 c=7.851 alpha=90.00 beta=90.00 gamma=90.00
Element x y z (fractional)
Cd1 0.250 0.750 0.000
Cd2 0.750 0.250 0.000
As1 0.250 0.250 0.279
As2 0.750 0.750 0.721
Ir1 0.250 0.250 0.611
Ir2 0.750 0.750 0.389
O1 0.250 0.750 0.500
O2 0.750 0.250 0.500

Results
ρ: 10.2 g cm⁻³
excess energy over the best structure of this formula in the dataset: 0.829 eV/atom

=====

No. 10
DFT (GGA-PBE) results for a relaxed CoAgGePt crystal.

Unit cell a=4.383 b=4.383 c=4.383 alpha=60.00 beta=60.00 gamma=60.00
Element x y z (fractional)
Co1 0.000 0.000 0.000
Ag1 0.250 0.250 0.250
Ge1 0.750 0.750 0.750
Pt1 0.500 0.500 0.500

Results
ρ: 12.1 g cm⁻³
excess energy over the best structure of this formula in the dataset: 0.000 eV/atom